{"formula": "KRe2Hg", "functional": "PBE-GGA", "state": "relaxed", "lattice_angstrom": [[4.545, 0.000, 0.000], [0.000, 4.545, 0.000], [0.000, 0.000, 20.443]], "species": ["K", "K", "K", "K", "Re", "Re", "Re", "Re", "Re", "Re", "Re", "Re", "Hg", "Hg", "Hg", "Hg"], "frac_coords": [[0.000, 0.000, 0.000], [0.000, 0.500, 0.250], [0.500, 0.000, 0.750], [0.500, 0.500, 0.500], [0.076, 0.250, 0.625], [0.250, 0.576, 0.875], [0.250, 0.924, 0.375], [0.424, 0.250, 0.125], [0.576, 0.750, 0.125], [0.750, 0.076, 0.375], [0.750, 0.424, 0.875], [0.924, 0.750, 0.625], [0.000, 0.000, 0.500], [0.000, 0.500, 0.750], [0.500, 0.000, 0.250], [0.500, 0.500, 0.000]], "total_magnetization_mub_per_atom": 0.000, "dos_ef_per_ev_cell": 30.4, "sg": "I-42d (122)", "delta_e_f_kj_per_mol_atoms": 147.45}

{"formula": "KRe2Hg", "functional": "PBE-GGA", "state": "relaxed", "lattice_angstrom": [[3.206, 0.000, 0.000], [0.000, 5.670, 0.000], [0.000, 0.000, 10.624]], "species": ["K", "K", "Re", "Re", "Re", "Re", "Hg", "Hg"], "frac_coords": [[0.000, 0.000, 0.000], [0.500, 0.500, 0.500], [0.000, 0.000, 0.535], [0.000, 0.500, 0.194], [0.500, 0.000, 0.694], [0.500, 0.500, 0.035], [0.000, 0.500, 0.796], [0.500, 0.000, 0.296]], "total_magnetization_mub_per_atom": 0.000, "dos_ef_per_ev_cell": 7.4, "sg": "Imm2 (44)", "delta_e_f_kj_per_mol_atoms": 113.20}

{"formula": "KReHg", "functional": "PBE-GGA", "state": "relaxed", "lattice_angstrom": [[7.154, 0.000, 0.000], [0.000, 7.154, 0.000], [0.000, 0.000, 7.154]], "species": ["K", "K", "K", "K", "Re", "Re", "Re", "Re", "Hg", "Hg", "Hg", "Hg"], "frac_coords": [[0.000, 0.000, 0.000], [0.000, 0.500, 0.500], [0.500, 0.000, 0.500], [0.500, 0.500, 0.000], [0.000, 0.000, 0.500], [0.000, 0.500, 0.000], [0.500, 0.000, 0.000], [0.500, 0.500, 0.500], [0.250, 0.250, 0.250], [0.250, 0.750, 0.750], [0.750, 0.250, 0.750], [0.750, 0.750, 0.250]], "total_magnetization_mub_per_atom": 1.208, "dos_ef_per_ev_cell": 11.1, "sg": "F-43m (216)", "de_polymorph_mev_per_atom": 688, "delta_e_f_kj_per_mol_atoms": 165.96}